No. 1
Compound: CaSi2Se
Source: Alexandria via LeMat-Bulk
Functional: PBE
Structure: relaxed

CIF file:
```
data_CaSi2Se
_cell_length_a 3.912
_cell_length_b 5.262
_cell_length_c 4.391
_cell_angle_alpha 90.00
_cell_angle_beta 93.69
_cell_angle_gamma 90.00
_space_group_name_H-M_alt 'P 1 2/m 1'
_space_group_IT_number 10
loop_
_space_group_symop_operation_xyz
'x,y,z'
'-x,-y,-z'
'-x,y,-z'
'x,-y,z'
loop_
_atom_site_label
_atom_site_type_symbol
_atom_site_fract_x
_atom_site_fract_y
_atom_site_fract_z
_atom_site_occupancy
Ca1 Ca 0.000 0.000 0.000 1
Si1 Si 0.270 0.500 0.660 1
Se1 Se 0.500 0.000 0.500 1
```

Calculated values
Formation energy (no corrections): -306 meV/atom
Total moment: 0.00 μB per cell
Energy: -4.389 eV per atom

=====

No. 2
Compound: Re2RhPb
Source: Alexandria via LeMat-Bulk
Functional: PBE
Structure: relaxed

CIF file:
```
data_Re2RhPb
_cell_length_a 2.952
_cell_length_b 3.874
_cell_length_c 6.062
_cell_angle_alpha 90.00
_cell_angle_beta 92.73
_cell_angle_gamma 90.00
_space_group_name_H-M_alt 'P 1 m 1'
_space_group_IT_number 6
loop_
_space_group_symop_operation_xyz
'x,y,z'
'x,-y,z'
loop_
_atom_site_label
_atom_site_type_symbol
_atom_site_fract_x
_atom_site_fract_y
_atom_site_fract_z
_atom_site_occupancy
Re1 Re 0.000 0.000 0.000 1
Re2 Re 0.433 0.500 0.175 1
Rh1 Rh 0.992 0.000 0.439 1
Pb1 Pb 0.497 0.500 0.683 1
```

Calculated values
Total moment: 0.00 μB per cell
Formation energy from the elements: 0.473 eV/atom
Energy: -8.516 eV per atom

=====

No. 3
Compound: Na2SO5
Source: Alexandria via LeMat-Bulk
Functional: PBE
Structure: relaxed

CIF file:
```
data_Na2SO5
_cell_length_a 6.413
_cell_length_b 14.507
_cell_length_c 5.669
_cell_angle_alpha 90.00
_cell_angle_beta 90.00
_cell_angle_gamma 90.00
_space_group_name_H-M_alt 'C m c m'
_space_group_IT_number 63
_space_group_name_Hall '-C 2c 2'
loop_
_atom_site_label
_atom_site_type_symbol
_atom_site_fract_x
_atom_site_fract_y
_atom_site_fract_z
_atom_site_occupancy
Na1 Na 0.000 0.000 0.000 1
Na2 Na 0.000 0.301 0.250 1
S1 S 0.000 0.181 0.750 1
O1 O 0.000 0.138 0.250 1
O2 O 0.183 0.138 0.572 1
```

Calculated values
Formation energy (no corrections): -546 meV/atom
Total moment: 0.00 μB per cell
Energy: -4.490 eV per atom